! Sr2TlHg2, optimized geometry, DFT PBE; values from VASP
&SYSTEM
  ibrav = 0, nat = 5, ntyp = 3
/
ATOMIC_SPECIES
Tl 204.38 Tl.upf
Sr 87.62 Sr.upf
Hg 200.59 Hg.upf
CELL_PARAMETERS angstrom
-5.674 1.580 2.257
-2.574 -4.880 -3.056
-3.414 -4.308 3.246
ATOMIC_POSITIONS angstrom
Tl 0.000 0.000 0.000
Sr -6.606 -2.189 2.551
Sr -5.056 -5.419 -0.105
Hg -7.754 -5.149 1.736
Hg -3.908 -2.459 0.710
! - M_tot: 0.000 μB/f.u.
! - DFT total energy: -1.558 eV per atom
! - Offset from the most stable computed form: 152 meV per atom


! Li15Ac2Mg2, optimized geometry, DFT PBE; values from VASP
&SYSTEM
  ibrav = 0, nat = 19, ntyp = 3
/
ATOMIC_SPECIES
Li 6.94 Li.upf
Ac 227.00 Ac.upf
Mg 24.30 Mg.upf
CELL_PARAMETERS angstrom
7.604 -0.123 0.856
0.751 7.568 0.856
-0.138 -0.123 7.651
ATOMIC_POSITIONS angstrom
Li -0.069 -0.061 3.825
Li 2.068 -0.123 5.715
Li 3.802 -0.061 0.428
Li 5.399 -0.123 2.792
Li 2.782 2.479 7.232
Li 4.973 0.842 5.666
Li 0.116 2.068 5.715
Li 2.703 5.377 0.856
Li 1.408 4.844 5.666
Li 5.436 4.844 2.131
Li 5.652 2.068 0.856
Li 3.245 6.480 3.697
Li 0.376 3.784 0.428
Li 6.810 2.479 3.697
Li 0.498 5.377 2.792
Ac 5.260 4.687 5.993
Ac 2.958 2.636 3.370
Mg 7.345 6.545 8.369
Mg 0.872 0.777 0.994
! - M_tot: 0.006 μB/f.u.
! - DFT total energy: -2.078 eV per atom


Let's list ΔH_f (0 K) in order: -0.29 0.03 eV per atom.